# NdHoMgAu | Alexandria via LeMat-Bulk | PBE | optimized geometry
data_NdHoMgAu
_cell_length_a 7.4511
_cell_length_b 7.4511
_cell_length_c 7.4511
_cell_angle_alpha 90.00
_cell_angle_beta 90.00
_cell_angle_gamma 90.00
_symmetry_space_group_name_H-M 'F -4 3 m'
_symmetry_Int_Tables_number 216
_symmetry_space_group_name_Hall 'F -4 2 3'
loop_
_atom_site_label
_atom_site_fract_x
_atom_site_fract_y
_atom_site_fract_z
Nd1 0.0000 0.0000 0.0000
Ho1 0.0000 0.0000 0.5000
Mg1 0.2500 0.2500 0.7500
Au1 0.2500 0.2500 0.2500
# Electronic total energy ... -15.7 eV/f.u.
# Energy of formation from the pure elements ... -0.382 eV per atom
# N(E_F) ... 11.5 states/eV per cell
# ΔE to the lowest computed polymorph ... 0.071 eV per atom
# Crystal system ... cubic